Record 1
This record from Alexandria describes crystalline CdGe2SbO8 at its relaxed geometry. The functional is GGA-PBE.

Output
Crystal system ... tetragonal
DOS at the Fermi energy ... 9.93 states/eV/cell

abc: 5.7550 5.7550 5.7550
angles: 108.20 108.20 112.04
Atoms (fractional coordinates):
1 Cd 0.0000 0.0000 0.0000
2 Ge 0.7500 0.2500 0.5000
3 Ge 0.5000 0.5000 0.0000
4 Sb 0.2500 0.7500 0.5000
5 O 0.3693 0.0460 0.3233
6 O 0.3178 0.5162 0.1984
7 O 0.3178 0.1195 0.8016
8 O 0.7227 0.0460 0.6767
9 O 0.8805 0.6822 0.1984
10 O 0.9540 0.2773 0.3233
11 O 0.9540 0.6307 0.6767
12 O 0.4838 0.6822 0.8016

Record 2
This record from Alexandria describes crystalline ScCd2GeO at its relaxed geometry. The functional is GGA-PBE.

Output
Crystal system ... tetragonal
DOS at the Fermi energy ... 1.84 states/eV/cell

abc: 4.8158 4.1471 4.8158
angles: 90.00 90.00 90.00
Atoms (fractional coordinates):
1 Sc 0.0000 0.5000 0.0000
2 Ge 0.5000 0.5000 0.5000
3 O 0.0000 0.0000 0.0000
4 Cd 0.0000 0.0000 0.5000
5 Cd 0.5000 0.0000 0.0000

Record 3
This record from Alexandria describes crystalline CdGeSeO6 at its relaxed geometry. The functional is GGA-PBE.

Output
Crystal system ... trigonal

abc: 4.9558 4.9558 9.9108
angles: 90.00 90.00 120.00
Atoms (fractional coordinates):
1 Cd 0.0000 0.0000 0.0000
2 Cd 0.0000 0.0000 0.5000
3 Ge 0.6667 0.3333 0.2500
4 Ge 0.3333 0.6667 0.7500
5 Se 0.3333 0.6667 0.2500
6 Se 0.6667 0.3333 0.7500
7 O 0.6180 0.6304 0.1446
8 O 0.0123 0.3820 0.1446
9 O 0.3820 0.0123 0.6446
10 O 0.9877 0.6180 0.8554
11 O 0.3696 0.3820 0.3554
12 O 0.0123 0.6304 0.3554
13 O 0.6304 0.0123 0.8554
14 O 0.6180 0.9877 0.3554
15 O 0.9877 0.3696 0.6446
16 O 0.3696 0.9877 0.1446
17 O 0.6304 0.6180 0.6446
18 O 0.3820 0.3696 0.8554

Results for energy relative to the elements, uncorrected: -107.3 -63.7 -101.7 (in kJ/mol of atoms, following the order of the records).